Entry 1:
A crystal of TeBrCl2 relaxed with PBEsol, computed with SCAN.

abc: 3.1444 3.1444 9.7596
angles: 90.00 90.00 90.00
Closest atoms and distances in Å follow each position.
Element x y z (fractional)
Te: 0.0000 0.0000 0.0000  8 Cl 2.95, 4 Te 3.14
Br: 0.0000 0.0000 0.5000  4 Br 3.14
Cl: 0.5000 0.5000 0.1992  4 Te 2.95, 4 Cl 3.14
Cl: 0.5000 0.5000 0.8008  4 Te 2.95, 4 Cl 3.14

Results
Energy above the lowest structure with this stoichiometry (meV per atom): 0.0
M_tot (Bohr magnetons per cell): 0.00
Fermi-level density of states (states/eV/f.u.): 3.592
Crystal system: tetragonal
E_form (uncorrected) (meV/atom): 207

Entry 2:
A crystal of Y2HgPb relaxed with PBEsol, computed with SCAN.

abc: 5.0894 5.0894 3.9593
angles: 90.00 90.00 90.00
Closest atoms and distances in Å follow each position.
Element x y z (fractional)
Y: 0.0000 0.5000 0.0000  4 Hg 3.22, 4 Pb 3.22, 4 Y 3.60
Y: 0.5000 0.0000 0.0000  4 Hg 3.22, 4 Pb 3.22, 4 Y 3.60
Hg: 0.0000 0.0000 0.5000  8 Y 3.22, 4 Pb 3.60
Pb: 0.5000 0.5000 0.5000  8 Y 3.22, 4 Hg 3.60

Results
M_tot (Bohr magnetons per cell): 0.00
Fermi-level density of states (states/eV/f.u.): 2.794
Crystal system: tetragonal
ΔE_f (eV/atom): -0.7358

Entry 3:
A crystal of Ce2Ge5Ir3 relaxed with PBEsol, computed with SCAN.

abc: 8.3244 8.3244 8.3244
angles: 104.73 90.33 137.73
Closest atoms and distances in Å follow each position.
Element x y z (fractional)
Ce: 0.1336 0.2284 0.3620  10 Ge 2.98-3.32, 3 Ir 3.11-3.23
Ce: 0.3664 0.7284 0.0948  10 Ge 2.98-3.32, 3 Ir 3.11-3.23
Ce: 0.6336 0.2716 0.9052  10 Ge 2.98-3.32, 3 Ir 3.11-3.23
Ce: 0.8664 0.7716 0.6380  10 Ge 2.98-3.32, 3 Ir 3.11-3.23
Ge: 0.0257 0.7500 0.2757  3 Ir 2.46-2.63, 2 Ge 2.64
Ge: 0.1009 0.6593 0.7602  3 Ir 2.38-2.51, 2 Ge 2.64
Ge: 0.2500 0.2500 0.0000  4 Ir 2.51
Ge: 0.3991 0.1593 0.5584  3 Ir 2.38-2.51, 2 Ge 2.64
Ge: 0.4743 0.7500 0.7243  3 Ir 2.46-2.63, 2 Ge 2.64
Ge: 0.5257 0.2500 0.2757  3 Ir 2.46-2.63, 2 Ge 2.64
Ge: 0.6009 0.8407 0.4416  3 Ir 2.38-2.51, 2 Ge 2.64
Ge: 0.7500 0.7500 0.0000  4 Ir 2.51
Ge: 0.8991 0.3407 0.2398  3 Ir 2.38-2.51, 2 Ge 2.64
Ge: 0.9743 0.2500 0.7243  3 Ir 2.46-2.63, 2 Ge 2.64
Ir: 0.1412 0.8885 0.0297  5 Ge 2.38-2.51
Ir: 0.2500 0.7500 0.5000  6 Ge 2.51-2.63
Ir: 0.3588 0.3885 0.7474  5 Ge 2.38-2.51
Ir: 0.6412 0.6115 0.2526  5 Ge 2.38-2.51
Ir: 0.7500 0.2500 0.5000  6 Ge 2.51-2.63
Ir: 0.8588 0.1115 0.9703  5 Ge 2.38-2.51

Results
M_tot (Bohr magnetons per cell): 2.48
Fermi-level density of states (states/eV/f.u.): 7.242
Crystal system: orthorhombic
ΔE_f (eV/atom): -0.9061

Entry 4:
A crystal of CdI2N relaxed with PBEsol, computed with SCAN.

abc: 7.2073 7.2073 7.2073
angles: 60.00 60.00 60.00
Closest atoms and distances in Å follow each position.
Element x y z (fractional)
Cd: 0.1250 0.1250 0.1250  12 I 4.23, 4 Cd 4.41, 4 N 4.41
Cd: 0.8750 0.8750 0.8750  12 I 4.23, 4 Cd 4.41, 4 N 4.41
I: 0.0000 0.5000 0.5000  2 N 2.21
I: 0.5000 0.0000 0.5000  2 N 2.21
I: 0.5000 0.5000 0.0000  2 N 2.21
I: 0.5000 0.5000 0.5000  2 N 2.21
N: 0.3750 0.3750 0.3750  4 I 2.21
N: 0.6250 0.6250 0.6250  4 I 2.21

Results
M_tot (Bohr magnetons per cell): 0.00
Fermi-level density of states (states/eV/f.u.): 2.627
Crystal system: cubic
E_form (uncorrected) (meV/atom): 836

Entry 5:
A crystal of Sm2Ge5Rh3 relaxed with PBEsol, computed with SCAN.

abc: 8.2870 8.2870 5.8444
angles: 109.07 109.07 94.01
Closest atoms and distances in Å follow each position.
Element x y z (fractional)
Sm: 0.0953 0.3692 0.2379  9 Ge 3.00-3.34, 4 Rh 3.15-3.29
Sm: 0.3692 0.0953 0.7379  9 Ge 3.00-3.34, 4 Rh 3.15-3.29
Sm: 0.6308 0.9047 0.2621  9 Ge 3.00-3.34, 4 Rh 3.15-3.29
Sm: 0.9047 0.6308 0.7621  9 Ge 3.00-3.34, 4 Rh 3.15-3.29
Ge: 0.0127 0.9873 0.7500  4 Rh 2.44-2.47
Ge: 0.2350 0.4282 0.8312  3 Rh 2.40-2.54, 2 Ge 2.64-2.66
Ge: 0.2766 0.7234 0.7500  3 Rh 2.53-2.73, 2 Ge 2.66
Ge: 0.2916 0.7084 0.2500  3 Rh 2.41-2.50, 2 Ge 2.64
Ge: 0.4282 0.2350 0.3312  3 Rh 2.40-2.54, 2 Ge 2.64-2.66
Ge: 0.5718 0.7650 0.6688  3 Rh 2.40-2.54, 2 Ge 2.64-2.66
Ge: 0.7084 0.2916 0.7500  3 Rh 2.41-2.50, 2 Ge 2.64
Ge: 0.7234 0.2766 0.2500  3 Rh 2.53-2.73, 2 Ge 2.66
Ge: 0.7650 0.5718 0.1688  3 Rh 2.40-2.54, 2 Ge 2.64-2.66
Ge: 0.9873 0.0127 0.2500  4 Rh 2.44-2.47
Rh: 0.0449 0.7631 0.3754  5 Ge 2.40-2.53
Rh: 0.2369 0.9551 0.1246  5 Ge 2.40-2.53
Rh: 0.4981 0.5019 0.2500  6 Ge 2.48-2.73
Rh: 0.5019 0.4981 0.7500  6 Ge 2.48-2.73
Rh: 0.7631 0.0449 0.8754  5 Ge 2.40-2.53
Rh: 0.9551 0.2369 0.6246  5 Ge 2.40-2.53

Results
M_tot (Bohr magnetons per cell): 0.00
Fermi-level density of states (states/eV/f.u.): 4.490
Crystal system: monoclinic
ΔE_f (eV/atom): -0.9628

Entry 6:
A crystal of Cu2TeCl relaxed with PBEsol, computed with SCAN.

abc: 3.4668 3.8000 6.3295
angles: 90.00 90.11 90.00
Closest atoms and distances in Å follow each position.
Element x y z (fractional)
Cu: 0.0000 0.0000 0.0000  2 Cl 2.41, 4 Cu 2.58, 2 Te 2.59
Cu: 0.5002 0.5000 0.0372  2 Cl 2.43-2.44, 2 Te 2.54, 4 Cu 2.58
Te: 0.5011 0.0000 0.3038  4 Cu 2.54-2.59
Cl: 0.9996 0.5000 0.7669  4 Cu 2.41-2.44

Results
Energy above the lowest structure with this stoichiometry (meV per atom): 0.0
M_tot (Bohr magnetons per cell): 0.00
Fermi-level density of states (states/eV/f.u.): 1.027
Crystal system: monoclinic
E_form (uncorrected) (meV/atom): -275

Question: Look up the M_tot of the second one.
Answer: 0.00 Bohr magnetons per cell